LiCdPt2 (GGA-PBE, optimized geometry); DOS at the Fermi energy = 0.35 states/eV/atom; DFT total energy = -0.1537 hartree per atom; space group = P4/mmm
1.0
-1.538 -2.683 -2.509
3.350 -2.140 0.236
-1.518 -2.034 3.105
Cd Pt Li
1 2 1
Direct
0.500 0.000 0.500
0.000 0.000 0.000
0.500 0.500 0.000
0.000 0.500 0.500